Record 1
RbMg2Tl: relaxed, PBE.

The calculation puts the energy above the most stable polymorph in this dataset at 0 meV/atom.

The structure belongs to space group Fm-3m (No. 225); the cell edges are 7.884, 7.884 and 7.884 Å and the angles 90.00°, 90.00° and 90.00°. The inequivalent atoms are Rb at (0.000, 0.000, 0.000), Mg at (0.250, 0.250, 0.250) and Tl at (0.000, 0.000, 0.500).

=====

Record 2
RbMg5Tl7: relaxed, PBE.

The structure belongs to space group Imm2 (No. 44); the cell edges are 6.338, 10.820 and 10.673 Å and the angles 90.00°, 90.00° and 90.00°. The inequivalent atoms are Rb at (0.000, 0.000, 0.000), Mg at (0.000, 0.500, 0.746), Mg at (0.248, 0.254, 0.256), Tl at (0.000, 0.000, 0.340), Tl at (0.000, 0.000, 0.648), Tl at (0.000, 0.293, 0.512), Tl at (0.000, 0.345, 0.999) and Tl at (0.000, 0.500, 0.280).

=====

Record 3
Rb5MgTl6: relaxed, PBE.

The structure belongs to space group C2/m (No. 12); the cell edges are 7.730, 17.065 and 9.173 Å and the angles 90.00°, 111.22° and 90.00°. The inequivalent atoms are Rb at (0.000, 0.000, 0.000), Rb at (0.000, 0.288, 0.000), Rb at (0.000, 0.360, 0.500), Mg at (0.000, 0.000, 0.500), Tl at (0.082, 0.149, 0.682) and Tl at (0.150, 0.500, 0.189).

=====

Record 4
RbMgTl: relaxed, PBE.

The calculation puts the energy above the most stable polymorph in this dataset at 0 meV/atom.

The structure belongs to space group I4/mmm (No. 139); the cell edges are 4.979, 4.979 and 18.420 Å and the angles 90.00°, 90.00° and 90.00°. The inequivalent atoms are Rb at (0.000, 0.000, 0.176), Mg at (0.000, 0.500, 0.000) and Tl at (0.000, 0.000, 0.402).

=====

Record 5
RbYMgTl2: relaxed, PBE.

The structure belongs to space group P4/mmm (No. 123); the cell edges are 5.602, 5.602 and 5.847 Å and the angles 90.00°, 90.00° and 90.00°. The inequivalent atoms are Rb at (0.000, 0.000, 0.000), Y at (0.500, 0.500, 0.000), Mg at (0.500, 0.500, 0.500) and Tl at (0.000, 0.500, 0.500).

=====

Record 6
RbMgZr2Tl: relaxed, PBE.

The structure belongs to space group P4/mmm (No. 123); the cell edges are 5.520, 5.520 and 6.420 Å and the angles 90.00°, 90.00° and 90.00°. The inequivalent atoms are Rb at (0.000, 0.000, 0.000), Mg at (0.500, 0.500, 0.000), Zr at (0.000, 0.500, 0.500) and Tl at (0.000, 0.000, 0.500).

=====

Energy relative to the elements for every record listed, in sequence, given in kJ/mol of atoms: 17.4 -3.1 -4.4 -5.9 33.5 109.1.